Record 1
Below is a geometry-optimized Ba3Be2NbO8 structure, with properties calculated at the PBE level.

Unit cell a=5.587 b=5.587 c=7.361 alpha=90.00 beta=90.00 gamma=120.00
Each line ends with the local moment (μB).
Element x y z (fractional)
Ba1 0.333 0.667 0.690  0.00
Ba2 0.667 0.333 0.310  0.00
Ba3 0.000 0.000 0.000  -0.01
Be1 0.333 0.667 0.256  -0.01
Be2 0.667 0.333 0.744  -0.01
Nb1 0.000 0.000 0.500  -0.01
O1 0.333 0.667 0.040  0.36
O2 0.667 0.333 0.960  0.36
O3 0.170 0.830 0.340  0.02
O4 0.830 0.170 0.660  0.02
O5 0.170 0.341 0.340  0.02
O6 0.830 0.659 0.660  0.02
O7 0.659 0.830 0.340  0.02
O8 0.341 0.170 0.660  0.02

Results
- Formation energy without anion corrections: -2.58 eV per atom
- Mass density: 5.4 Mg/m³
- E_tot: -7.08 eV/atom
- Calculated volume: 199 Å³ per cell
- Space group: P-3m1
- Crystal system: trigonal

***

Record 2
Below is a geometry-optimized Pd3Pt4W structure, with properties calculated at the PBE level.

Unit cell a=4.753 b=2.793 c=12.024 alpha=54.50 beta=101.40 gamma=90.00
Element x y z (fractional)
Pd1 0.000 0.500 0.000
Pd2 0.250 0.250 0.500
Pd3 0.750 0.750 0.500
Pt1 0.622 0.892 0.243
Pt2 0.378 0.108 0.757
Pt3 0.875 0.625 0.750
Pt4 0.125 0.375 0.250
W1 0.500 0.000 0.000

Results
- Polymorph energy (0 for the lowest one): 190 meV/atom
- Mass density: 16.9 Mg/m³
- E_tot: -6.57 eV/atom
- Calculated volume: 126 Å³ per cell
- Space group: Immm
- Energy of formation from the pure elements: 0.01 eV/atom
- Crystal system: orthorhombic

***

Record 3
Below is a geometry-optimized Tc2Ag3 structure, with properties calculated at the PBE level.

Unit cell a=12.246 b=12.246 c=12.246 alpha=13.06 beta=13.06 gamma=13.06
Each line ends with the local moment (μB).
Element x y z (fractional)
Tc1 0.601 0.601 0.601  0.53
Tc2 0.399 0.399 0.399  0.53
Ag1 0.000 0.000 0.000  0.04
Ag2 0.799 0.799 0.799  0.01
Ag3 0.201 0.201 0.201  0.01

Results
- Mass density: 10.6 Mg/m³
- E_tot: -5.33 eV/atom
- Calculated volume: 82 Å³ per cell
- Space group: R-3m
- Energy of formation from the pure elements: 0.53 eV/atom
- Crystal system: trigonal

***

Record 4
Below is a geometry-optimized RbReSCl2 structure, with properties calculated at the PBE level.

Unit cell a=5.955 b=5.955 c=5.939 alpha=90.00 beta=90.00 gamma=90.00
Each line ends with the local moment (μB).
Element x y z (fractional)
Re1 0.500 0.500 0.500  4.52
S1 0.000 0.000 0.500  -0.89
Rb1 0.000 0.000 0.000  -0.04
Cl1 0.000 0.500 0.000  -0.08
Cl2 0.500 0.000 0.000  -0.08

Results
- Formation energy without anion corrections: 1.28 eV per atom
- Polymorph energy (0 for the lowest one): 1846 meV/atom
- Mass density: 3.0 Mg/m³
- E_tot: -2.97 eV/atom
- Calculated volume: 211 Å³ per cell
- Space group: P4/mmm
- Crystal system: tetragonal

***

Record 5
Below is a geometry-optimized Rb3SrZr structure, with properties calculated at the PBE level.

Unit cell a=7.719 b=7.719 c=7.719 alpha=90.00 beta=90.00 gamma=90.00
Each line ends with the local moment (μB).
Element x y z (fractional)
Sr1 0.000 0.000 0.000  0.03
Rb1 0.000 0.500 0.000  0.01
Rb2 0.000 0.000 0.500  0.01
Rb3 0.500 0.000 0.000  0.01
Zr1 0.500 0.500 0.500  1.72

Results
- Polymorph energy (0 for the lowest one): 366 meV/atom
- Mass density: 1.6 Mg/m³
- E_tot: -1.24 eV/atom
- Calculated volume: 460 Å³ per cell
- Space group: Pm-3m
- Energy of formation from the pure elements: 1.39 eV/atom
- Crystal system: cubic

***

Record 6
Below is a geometry-optimized RbAlSn2 structure, with properties calculated at the PBE level.

Unit cell a=5.993 b=5.993 c=10.045 alpha=72.64 beta=72.64 gamma=90.00
Element x y z (fractional)
Sn1 0.375 0.125 0.250
Sn2 0.375 0.625 0.250
Sn3 0.375 0.625 0.750
Sn4 0.875 0.625 0.750
Rb1 0.000 0.000 0.000
Rb2 0.750 0.250 0.500
Al1 0.500 0.500 0.000
Al2 0.250 0.750 0.500

Results
- Mass density: 3.6 Mg/m³
- E_tot: -3.08 eV/atom
- Calculated volume: 327 Å³ per cell
- Space group: I4_1/amd
- Energy of formation from the pure elements: 0.10 eV/atom
- Crystal system: tetragonal

***

Record 7
Below is a geometry-optimized KTaHg structure, with properties calculated at the PBE level.

Unit cell a=8.540 b=8.540 c=8.540 alpha=159.78 beta=159.78 gamma=28.75
Each line ends with the local moment (μB).
Element x y z (fractional)
Hg1 0.015 0.015 0.000  0.03
K1 0.338 0.338 0.000  0.03
Ta1 0.646 0.646 0.000  0.28

Results
- Polymorph energy (0 for the lowest one): 516 meV/atom
- Mass density: 9.4 Mg/m³
- E_tot: -3.61 eV/atom
- Calculated volume: 74 Å³ per cell
- Space group: I4mm
- Energy of formation from the pure elements: 0.80 eV/atom
- Crystal system: tetragonal

***

Record 8
Below is a geometry-optimized Er7CdIn5 structure, with properties calculated at the PBE level.

Unit cell a=6.459 b=8.150 c=8.150 alpha=80.01 beta=66.66 gamma=66.66
Element x y z (fractional)
Er1 0.606 0.394 0.394
Er2 0.242 0.758 0.758
Er3 0.016 0.301 0.667
Er4 0.016 0.667 0.301
Er5 0.274 0.226 0.226
Er6 0.527 0.805 0.141
Er7 0.527 0.141 0.805
Cd1 0.941 0.059 0.059
In1 0.529 0.993 0.470
In2 0.008 0.993 0.470
In3 0.529 0.470 0.993
In4 0.008 0.470 0.993
In5 0.777 0.723 0.723

Results
- Mass density: 8.5 Mg/m³
- E_tot: -3.79 eV/atom
- Calculated volume: 362 Å³ per cell
- Space group: Imm2
- Energy of formation from the pure elements: -0.21 eV/atom
- Crystal system: orthorhombic

***

Record 9
Below is a geometry-optimized SrZr2O structure, with properties calculated at the PBE level.

Unit cell a=6.801 b=6.801 c=6.781 alpha=59.90 beta=59.90 gamma=90.00
Element x y z (fractional)
Sr1 0.000 0.000 0.000
Sr2 0.750 0.250 0.500
O1 0.500 0.500 0.000
O2 0.250 0.750 0.500
Zr1 0.410 0.125 0.250
Zr2 0.340 0.625 0.250
Zr3 0.375 0.590 0.750
Zr4 0.875 0.660 0.750

Results
- Formation energy without anion corrections: -0.95 eV per atom
- Mass density: 4.3 Mg/m³
- E_tot: -6.88 eV/atom
- Calculated volume: 221 Å³ per cell
- Space group: I-42d
- Crystal system: tetragonal

***

Record 10
Below is a geometry-optimized AgP3O9 structure, with properties calculated at the PBE level.

Unit cell a=6.923 b=6.923 c=7.137 alpha=90.00 beta=90.00 gamma=92.27
Element x y z (fractional)
Ag1 0.712 0.712 0.000
Ag2 0.288 0.288 0.500
P1 0.204 0.783 0.038
P2 0.796 0.217 0.538
P3 0.783 0.204 0.962
P4 0.217 0.796 0.462
P5 0.214 0.214 0.000
P6 0.786 0.786 0.500
O1 0.226 0.989 0.943
O2 0.774 0.011 0.443
O3 0.989 0.226 0.057
O4 0.011 0.774 0.557
O5 0.269 0.323 0.824
O6 0.731 0.677 0.324
O7 0.323 0.269 0.176
O8 0.677 0.731 0.676
O9 0.324 0.613 0.487
O10 0.676 0.387 0.987
O11 0.613 0.324 0.513
O12 0.387 0.676 0.013
O13 0.327 0.974 0.535
O14 0.673 0.026 0.035
O15 0.974 0.327 0.465
O16 0.026 0.673 0.965
O17 0.159 0.841 0.250
O18 0.841 0.159 0.750

Results
- Formation energy without anion corrections: -1.59 eV per atom
- Mass density: 3.4 Mg/m³
- E_tot: -6.49 eV/atom
- Calculated volume: 342 Å³ per cell
- Space group: C222_1
- Crystal system: orthorhombic

***

Record 11
Below is a geometry-optimized Ac2Ce4Sn3O2 structure, with properties calculated at the PBE level.

Unit cell a=4.832 b=4.832 c=13.798 alpha=100.08 beta=100.08 gamma=90.00
Each line ends with the local moment (μB).
Element x y z (fractional)
Ac1 0.303 0.303 0.606  0.08
Ac2 0.697 0.697 0.394  0.08
Ce1 0.419 0.919 0.838  0.77
Ce2 0.919 0.419 0.838  0.77
Ce3 0.081 0.581 0.162  0.77
Ce4 0.581 0.081 0.162  0.77
Sn1 0.000 0.000 0.000  -0.04
Sn2 0.170 0.170 0.340  -0.04
Sn3 0.830 0.830 0.660  -0.04
O1 0.405 0.405 0.811  -0.03
O2 0.595 0.595 0.189  -0.03

Results
- Formation energy without anion corrections: -1.42 eV per atom
- Mass density: 7.5 Mg/m³
- E_tot: -6.32 eV/atom
- Calculated volume: 312 Å³ per cell
- Space group: I4/mmm
- Crystal system: tetragonal

***

Record 12
Below is a geometry-optimized SiPRu structure, with properties calculated at the PBE level.

Unit cell a=4.012 b=4.012 c=4.012 alpha=60.00 beta=60.00 gamma=60.00
Element x y z (fractional)
P1 0.500 0.500 0.500
Ru1 0.750 0.750 0.750
Si1 0.000 0.000 0.000

Results
- Formation energy without anion corrections: -0.20 eV per atom
- Mass density: 5.8 Mg/m³
- E_tot: -6.90 eV/atom
- Calculated volume: 46 Å³ per cell
- Space group: F-43m
- Crystal system: cubic

***

Record 13
Below is a geometry-optimized Pm3Dy4Tm5 structure, with properties calculated at the PBE level.

Unit cell a=5.879 b=8.464 c=9.606 alpha=105.68 beta=72.18 gamma=69.68
Each line ends with the local moment (μB).
Element x y z (fractional)
Pm1 0.524 0.685 0.267  0.00
Pm2 0.000 0.500 0.500  0.06
Pm3 0.476 0.315 0.733  0.00
Dy1 0.860 0.222 0.058  0.00
Dy2 0.169 0.040 0.622  0.00
Dy3 0.831 0.960 0.378  0.00
Dy4 0.140 0.778 0.942  0.00
Tm1 0.624 0.948 0.804  0.01
Tm2 0.500 0.500 0.500  0.08
Tm3 0.215 0.457 0.113  0.00
Tm4 0.785 0.543 0.887  0.00
Tm5 0.376 0.052 0.196  0.01

Results
- Polymorph energy (0 for the lowest one): 220 meV/atom
- Mass density: 8.3 Mg/m³
- E_tot: -4.34 eV/atom
- Calculated volume: 387 Å³ per cell
- Space group: C2/m
- Energy of formation from the pure elements: 0.24 eV/atom
- Crystal system: monoclinic

***

Record 14
Below is a geometry-optimized Yb4Ge3Au5 structure, with properties calculated at the PBE level.

Unit cell a=5.803 b=5.803 c=10.730 alpha=84.42 beta=84.42 gamma=46.00
Each line ends with the local moment (μB).
Element x y z (fractional)
Yb1 0.682 0.682 0.688  0.21
Yb2 0.191 0.191 0.183  0.22
Yb3 0.391 0.391 0.901  0.24
Yb4 0.895 0.895 0.396  0.23
Ge1 0.177 0.177 0.487  0.00
Ge2 0.983 0.983 0.670  0.00
Ge3 0.488 0.488 0.188  0.01
Au1 0.686 0.686 0.986  0.00
Au2 0.385 0.385 0.605  0.00
Au3 0.904 0.904 0.111  0.00
Au4 0.094 0.094 0.877  0.00
Au5 0.606 0.606 0.390  0.00

Results
- Mass density: 12.2 Mg/m³
- E_tot: -3.79 eV/atom
- Calculated volume: 258 Å³ per cell
- Space group: Cm
- Energy of formation from the pure elements: -0.76 eV/atom
- Crystal system: monoclinic

***

Record 15
Below is a geometry-optimized CdNiIr2 structure, with properties calculated at the PBE level.

Unit cell a=4.011 b=3.864 c=3.864 alpha=90.00 beta=90.00 gamma=90.00
Element x y z (fractional)
Cd1 0.500 0.000 0.500
Ir1 0.000 0.000 0.000
Ir2 0.000 0.500 0.500
Ni1 0.500 0.500 0.000

Results
- Mass density: 15.4 Mg/m³
- E_tot: -5.80 eV/atom
- Calculated volume: 60 Å³ per cell
- Space group: P4/mmm
- Energy of formation from the pure elements: 0.30 eV/atom
- Crystal system: tetragonal

***

Record 16
Below is a geometry-optimized Hf5Zr2In3 structure, with properties calculated at the PBE level.

Unit cell a=5.771 b=9.696 c=9.696 alpha=97.79 beta=72.68 gamma=72.68
Element x y z (fractional)
Hf1 0.412 0.250 0.926
Hf2 0.912 0.926 0.250
Hf3 0.588 0.750 0.074
Hf4 0.088 0.074 0.750
Hf5 0.492 0.758 0.758
Hf6 0.508 0.242 0.242
Hf7 0.750 0.500 0.500
Hf8 0.250 0.500 0.500
Hf9 0.008 0.242 0.242
Hf10 0.992 0.758 0.758
Zr1 0.129 0.579 0.163
Zr2 0.629 0.163 0.579
Zr3 0.871 0.421 0.837
Zr4 0.371 0.837 0.421
In1 0.351 0.497 0.800
In2 0.851 0.800 0.497
In3 0.649 0.503 0.200
In4 0.149 0.200 0.503
In5 0.250 0.000 0.000
In6 0.750 0.000 0.000

Results
- Mass density: 9.8 Mg/m³
- E_tot: -7.27 eV/atom
- Calculated volume: 479 Å³ per cell
- Space group: Ibam
- Energy of formation from the pure elements: 0.24 eV/atom
- Crystal system: orthorhombic

***

Record 17
Below is a geometry-optimized TaBeOs structure, with properties calculated at the PBE level.

Unit cell a=3.158 b=6.597 c=11.405 alpha=90.00 beta=90.00 gamma=90.00
Element x y z (fractional)
Ta1 0.000 0.239 0.953
Ta2 0.000 0.761 0.047
Ta3 0.000 0.239 0.547
Ta4 0.000 0.761 0.453
Ta5 0.000 0.152 0.250
Ta6 0.000 0.848 0.750
Be1 0.500 0.054 0.089
Be2 0.500 0.946 0.911
Be3 0.500 0.054 0.411
Be4 0.500 0.946 0.589
Be5 0.000 0.550 0.250
Be6 0.000 0.450 0.750
Os1 0.500 0.423 0.121
Os2 0.500 0.577 0.879
Os3 0.500 0.423 0.379
Os4 0.500 0.577 0.621
Os5 0.500 0.806 0.250
Os6 0.500 0.194 0.750

Results
- Polymorph energy (0 for the lowest one): 0 meV/atom
- Mass density: 15.9 Mg/m³
- E_tot: -9.43 eV/atom
- Calculated volume: 238 Å³ per cell
- Space group: Pmma
- Energy of formation from the pure elements: -0.50 eV/atom
- Crystal system: orthorhombic

***

Record 18
Below is a geometry-optimized PrGaSnPt3 structure, with properties calculated at the PBE level.

Unit cell a=5.749 b=5.697 c=8.927 alpha=108.61 beta=90.00 gamma=90.00
Element x y z (fractional)
Pr1 0.750 0.304 0.608
Pr2 0.250 0.696 0.392
Ga1 0.250 0.094 0.187
Ga2 0.750 0.906 0.813
Sn1 0.250 0.399 0.797
Sn2 0.750 0.601 0.203
Pt1 0.250 0.241 0.482
Pt2 0.000 0.245 0.000
Pt3 0.500 0.755 0.000
Pt4 0.500 0.245 0.000
Pt5 0.000 0.755 0.000
Pt6 0.750 0.759 0.518

Results
- Mass density: 11.0 Mg/m³
- E_tot: -5.66 eV/atom
- Calculated volume: 277 Å³ per cell
- Space group: Cmcm
- Energy of formation from the pure elements: -0.67 eV/atom
- Crystal system: orthorhombic

***

Record 19
Below is a geometry-optimized SmEr6Ni2 structure, with properties calculated at the PBE level.

Unit cell a=8.490 b=8.490 c=8.490 alpha=106.40 beta=106.68 gamma=115.51
Element x y z (fractional)
Sm1 0.000 0.500 0.500
Sm2 0.000 0.000 0.000
Er1 0.496 0.303 0.193
Er2 0.504 0.697 0.807
Er3 0.889 0.697 0.193
Er4 0.111 0.303 0.807
Er5 0.221 0.777 0.999
Er6 0.779 0.223 0.001
Er7 0.779 0.777 0.556
Er8 0.221 0.223 0.444
Er9 0.303 0.993 0.690
Er10 0.697 0.007 0.310
Er11 0.697 0.388 0.690
Er12 0.303 0.612 0.310
Ni1 0.500 0.381 0.881
Ni2 0.500 0.619 0.119
Ni3 0.373 0.000 0.373
Ni4 0.627 0.000 0.627

Results
- Mass density: 9.0 Mg/m³
- E_tot: -4.99 eV/atom
- Calculated volume: 467 Å³ per cell
- Space group: Immm
- Energy of formation from the pure elements: -0.14 eV/atom
- Crystal system: orthorhombic

***

Record 20
Below is a geometry-optimized Co2AgPI structure, with properties calculated at the PBE level.

Unit cell a=4.807 b=5.328 c=4.807 alpha=90.00 beta=90.00 gamma=90.00
Each line ends with the local moment (μB).
Element x y z (fractional)
I1 0.000 0.500 0.000  -0.01
P1 0.500 0.500 0.500  -0.09
Co1 0.000 0.000 0.500  2.26
Co2 0.500 0.000 0.000  1.68
Ag1 0.000 0.000 0.000  0.01

Results
- Formation energy without anion corrections: 1.79 eV per atom
- Mass density: 5.2 Mg/m³
- E_tot: -3.01 eV/atom
- Calculated volume: 123 Å³ per cell
- Space group: P4/mmm
- Crystal system: tetragonal